[1]
Material: YScP3
Method: DFT, PBE-GGA
State: optimized geometry

energy above the lowest structure with this stoichiometry = 0.000 eV/atom
N(E_F) = 5.1 states/eV per cell
M_tot = 0.0000 μB per atom
energy of formation = -0.28 eV/atom
space-group type = Pm-3m, No. 221

Lattice parameters (Å, degrees): 4.852 4.852 4.852 90.00 90.00 90.00
Positions (direct):
P (0.500, 0.000, 0.000)
P (0.000, 0.500, 0.000)
P (0.000, 0.000, 0.500)
Sc (0.000, 0.000, 0.000)
Y (0.500, 0.500, 0.500)

[2]
Material: YScP2
Method: DFT, PBE-GGA
State: optimized geometry

energy above the lowest structure with this stoichiometry = 0.571 eV/atom
N(E_F) = 2.9 states/eV per cell
M_tot = 0.0000 μB per atom
energy of formation = -0.97 eV/atom
space-group type = Pmmm, No. 47

Lattice parameters (Å, degrees): 3.362 3.387 6.779 90.00 90.00 90.00
Positions (direct):
P (0.000, 0.000, 0.485)
P (0.000, 0.000, 0.015)
Sc (0.500, 0.500, 0.250)
Y (0.500, 0.500, 0.750)

[3]
Material: YSc2P
Method: DFT, PBE-GGA
State: optimized geometry

N(E_F) = 4.5 states/eV per cell
M_tot = 0.0000 μB per atom
energy of formation = -0.55 eV/atom
space-group type = P4/mmm, No. 123

Lattice parameters (Å, degrees): 3.436 3.436 7.569 90.00 90.00 90.00
Positions (direct):
Y (0.500, 0.500, 0.000)
P (0.500, 0.500, 0.500)
Sc (0.000, 0.000, 0.685)
Sc (0.000, 0.000, 0.315)

[4]
Material: YSc2P
Method: DFT, PBE-GGA
State: optimized geometry

N(E_F) = 18.2 states/eV per cell
M_tot = 0.0000 μB per atom
energy of formation = -0.79 eV/atom
space-group type = Pnma, No. 62

Lattice parameters (Å, degrees): 5.815 7.097 8.605 90.00 90.00 90.00
Positions (direct):
P (0.405, 0.881, 0.250)
P (0.095, 0.381, 0.250)
P (0.905, 0.619, 0.750)
P (0.595, 0.119, 0.750)
Y (0.873, 0.023, 0.250)
Y (0.373, 0.477, 0.750)
Y (0.127, 0.977, 0.750)
Y (0.627, 0.523, 0.250)
Sc (0.639, 0.823, 0.552)
Sc (0.139, 0.677, 0.052)
Sc (0.861, 0.323, 0.948)
Sc (0.861, 0.323, 0.552)
Sc (0.361, 0.177, 0.448)
Sc (0.639, 0.823, 0.948)
Sc (0.139, 0.677, 0.448)
Sc (0.361, 0.177, 0.052)

[5]
Material: YSc2P
Method: DFT, PBE-GGA
State: optimized geometry

N(E_F) = 3.1 states/eV per cell
M_tot = 0.0028 μB per atom
energy of formation = -0.58 eV/atom
space-group type = P4mm, No. 99

Lattice parameters (Å, degrees): 3.536 3.536 7.147 90.00 90.00 90.00
Positions (direct):
Y (0.000, 0.000, 0.536)
Sc (0.500, 0.500, 0.215)
Sc (0.000, 0.000, 0.949)
P (0.500, 0.500, 0.799)

[6]
Material: YSc3P
Method: DFT, PBE-GGA
State: optimized geometry

energy above the lowest structure with this stoichiometry = 0.000 eV/atom
N(E_F) = 6.3 states/eV per cell
M_tot = 0.4341 μB per atom
energy of formation = -0.42 eV/atom
space-group type = Pm-3m, No. 221

Lattice parameters (Å, degrees): 5.043 5.043 5.043 90.00 90.00 90.00
Positions (direct):
P (0.000, 0.000, 0.000)
Sc (0.500, 0.000, 0.000)
Sc (0.000, 0.000, 0.500)
Sc (0.000, 0.500, 0.000)
Y (0.500, 0.500, 0.500)

Which value of N(E_F) does entry 5 give? 3.1 states/eV per cell

Number 5 is which compound? YSc2P

Please write out number 3 again, unchanged.
Material: YSc2P
Method: DFT, PBE-GGA
State: optimized geometry

N(E_F) = 4.5 states/eV per cell
M_tot = 0.0000 μB per atom
energy of formation = -0.55 eV/atom
space-group type = P4/mmm, No. 123

Lattice parameters (Å, degrees): 3.436 3.436 7.569 90.00 90.00 90.00
Positions (direct):
Y (0.500, 0.500, 0.000)
P (0.500, 0.500, 0.500)
Sc (0.000, 0.000, 0.685)
Sc (0.000, 0.000, 0.315)